No. 1
An optimized crystal structure of TbZn2Ni6, computed with PBE.

```
TbZn2Ni6
1.0
0.0000 5.2460 5.2460
5.2460 0.0000 5.2460
5.2460 5.2460 0.0000
Tb Zn Ni
2 4 12
Cartesian
1.3115 1.3115 1.3115
9.1805 9.1805 9.1805
5.2460 2.6230 2.6230
2.6230 5.2460 2.6230
2.6230 2.6230 5.2460
5.2460 5.2460 5.2460
3.9345 3.9345 1.2170
3.9345 1.2170 3.9345
6.6520 3.9345 3.9345
6.5575 6.5575 3.8399
6.5575 3.8399 6.5575
9.2750 6.5575 6.5575
1.2170 3.9345 3.9345
3.9345 6.6520 3.9345
3.9345 3.9345 6.6520
3.8399 6.5575 6.5575
6.5575 9.2750 6.5575
6.5575 6.5575 9.2750
```

- DFT formation energy (eV/atom) = 0.36
- magnetization (μB/f.u.) = 0.0
- space group = Fd-3m, No. 227
- density of states at the Fermi level (states/eV per atom) = 0.50

---

No. 2
An optimized crystal structure of Ga2Fe3Ni2, computed with PBE.

```
Ga2Fe3Ni2
1.0
2.0312 1.1727 5.9095
-2.0312 1.1727 5.9095
0.0000 -2.3454 5.9095
Ga Fe Ni
2 3 2
Cartesian
0.0000 0.0000 3.8998
0.0000 0.0000 13.8286
0.0000 0.0000 6.3908
0.0000 0.0000 8.8642
0.0000 0.0000 11.3377
0.0000 0.0000 1.2952
0.0000 0.0000 16.4333
```

- DFT formation energy (eV/atom) = -0.13
- magnetization (μB/f.u.) = 7.5
- space group = R-3m, No. 166
- density of states at the Fermi level (states/eV per atom) = 0.98

---

No. 3
An optimized crystal structure of NdErLuSc, computed with PBE.

```
NdErLuSc
1.0
0.0000 3.9116 3.9116
3.9116 0.0000 3.9116
3.9116 3.9116 0.0000
Nd Er Lu Sc
1 1 1 1
Cartesian
0.0000 0.0000 0.0000
3.9116 3.9116 3.9116
1.9558 1.9558 1.9558
5.8674 5.8674 5.8674
```

- DFT formation energy (eV/atom) = 0.10
- magnetization (μB/f.u.) = 0.0
- space group = F-43m, No. 216
- density of states at the Fermi level (states/eV per atom) = 1.31

---

No. 4
An optimized crystal structure of CsSrRu2O8, computed with PBE.

```
CsSrRu2O8
1.0
4.7811 -3.1346 0.0000
4.7811 3.1346 0.0000
-0.7606 0.0000 9.1543
Cs Sr Ru O
1 1 2 8
Cartesian
0.0000 0.0000 0.0000
-0.3803 0.0000 4.5771
3.1330 0.0000 6.6094
5.6685 0.0000 2.5448
4.1277 1.4712 6.4561
1.9958 0.0000 5.2525
4.6738 1.4712 2.6982
2.3367 0.0000 8.1726
6.4648 0.0000 0.9817
4.1277 -1.4712 6.4561
6.8058 0.0000 3.9018
4.6738 -1.4712 2.6982
```

- magnetization (μB/f.u.) = 3.0
- space group = C2/m, No. 12
- formation energy from raw total energies (kJ/mol of formula units) = -1560.2
- density of states at the Fermi level (states/eV per atom) = 1.02

---

No. 5
An optimized crystal structure of PmErSe2O8, computed with PBE.

```
PmErSe2O8
1.0
-2.6050 2.6050 5.7151
2.6050 -2.6050 5.7151
2.6050 2.6050 -5.7151
Pm Er Se O
1 1 2 8
Cartesian
0.0000 0.0000 0.0000
2.6050 0.0000 2.8576
0.0000 0.0000 5.7151
0.0000 2.6050 2.8576
1.4596 -0.8065 4.7067
1.7985 1.1454 1.0084
-0.8115 1.4123 1.9793
1.1454 3.4115 -1.0084
1.1927 1.7935 3.7359
0.8065 1.4596 6.7235
0.8115 3.7977 1.9793
-1.1927 3.4165 3.7359
```

- magnetization (μB/f.u.) = 0.0
- space group = I-4, No. 82
- formation energy from raw total energies (kJ/mol of formula units) = -2088.1
- density of states at the Fermi level (states/eV per atom) = 0.00

---

No. 6
An optimized crystal structure of Y3HgC, computed with PBE.

```
Y3HgC
1.0
5.3392 0.0000 0.0000
0.0000 13.9356 0.0000
0.0000 0.0000 7.1733
Y Hg C
12 4 4
Cartesian
5.3384 1.6262 0.6326
5.3384 5.3416 0.6326
0.0009 8.5940 6.5406
0.0009 12.3094 6.5406
0.0079 3.4839 4.2749
2.6617 10.4517 0.6883
2.6688 1.6262 2.9540
2.6688 5.3416 2.9540
2.6705 8.5940 4.2193
2.6705 12.3094 4.2193
2.6775 3.4839 6.4850
5.3313 10.4517 2.8983
0.0000 0.0000 3.5866
0.0000 6.9678 3.5866
2.6696 0.0000 0.0000
2.6696 6.9678 0.0000
0.0347 10.4517 0.6145
2.6349 3.4839 4.2011
2.7043 10.4517 2.9721
5.3045 3.4839 6.5588
```

- DFT formation energy (eV/atom) = -0.17
- magnetization (μB/f.u.) = 0.0
- space group = Pnma, No. 62
- E above lowest polymorph (kJ/mol of formula units) = 124
- density of states at the Fermi level (states/eV per atom) = 0.61

---

No. 7
An optimized crystal structure of RbPb6, computed with PBE.

```
RbPb6
1.0
10.6090 0.0000 0.0000
0.0000 7.1370 0.0000
0.0000 0.0000 13.3071
Rb Pb
4 24
Cartesian
2.5388 1.7843 0.7919
2.7657 5.3528 7.4454
7.8433 1.7843 5.8617
8.0702 5.3528 12.5153
0.6349 0.1441 4.0120
0.6349 3.4245 4.0120
0.8870 5.3528 1.2216
1.0179 1.7843 7.0654
1.6918 5.3528 11.3515
2.0449 1.7843 10.2385
3.2596 5.3528 3.5849
3.6127 1.7843 4.6979
4.2866 5.3528 0.4119
4.4175 1.7843 7.8751
4.6696 3.7126 10.6656
4.6696 6.9930 10.6656
5.9394 0.1441 2.6415
5.9394 3.4245 2.6415
6.1915 5.3528 5.4320
6.3224 1.7843 12.8952
6.9963 5.3528 8.6092
7.3494 1.7843 9.7222
8.5641 5.3528 3.0686
8.9172 1.7843 1.9557
9.5911 5.3528 6.2417
9.7220 1.7843 12.0855
9.9741 3.7126 9.2951
9.9741 6.9930 9.2951
```

- DFT formation energy (eV/atom) = -0.02
- magnetization (μB/f.u.) = 0.0
- space group = Pnma, No. 62
- E above lowest polymorph (kJ/mol of formula units) = 0
- density of states at the Fermi level (states/eV per atom) = 0.50

---

No. 8
An optimized crystal structure of CaZrSi, computed with PBE.

```
CaZrSi
1.0
1.9193 -10.5256 0.0000
1.9193 10.5256 0.0000
0.0000 0.0000 3.7849
Ca Zr Si
2 2 2
Cartesian
1.9193 6.7164 2.8387
1.9193 -6.7164 0.9462
1.9193 1.3216 2.8387
1.9193 -1.3216 0.9462
1.9193 9.6588 2.8387
1.9193 -9.6588 0.9462
```

- magnetization (μB/f.u.) = 0.0
- space group = Cmcm, No. 63
- formation energy from raw total energies (kJ/mol of formula units) = -125.7
- density of states at the Fermi level (states/eV per atom) = 0.92

---

No. 9
An optimized crystal structure of BeTeAu, computed with PBE.

```
BeTeAu
1.0
3.8753 0.0000 0.0000
-1.9377 3.3561 0.0000
0.0000 0.0000 4.5060
Be Te Au
1 1 1
Cartesian
0.0000 0.0000 0.0000
1.9377 1.1187 1.2003
0.0000 2.2374 3.2910
```

- magnetization (μB/f.u.) = 0.0
- space group = P3m1, No. 156
- formation energy from raw total energies (kJ/mol of formula units) = 34.8
- E above lowest polymorph (kJ/mol of formula units) = 10
- density of states at the Fermi level (states/eV per atom) = 0.38

---

No. 10
An optimized crystal structure of LiTl2BiO4, computed with PBE.

```
LiTl2BiO4
1.0
4.9526 0.0000 0.0000
-0.0908 5.5989 0.0000
-2.3463 -1.9007 5.1691
Li Tl Bi O
1 2 1 4
Cartesian
0.0000 0.0000 0.0000
0.1332 0.7030 5.1530
2.3128 0.3118 2.5454
-0.2097 3.1370 2.6296
-0.9616 -0.7942 4.0145
1.1226 3.9731 1.1490
1.2052 2.3979 4.0888
3.9977 1.4437 1.0941
```

- magnetization (μB/f.u.) = 0.0
- space group = P1, No. 1
- formation energy from raw total energies (kJ/mol of formula units) = -724.0

---

No. 11
An optimized crystal structure of PrErTl2, computed with PBE.

```
PrErTl2
1.0
0.0000 3.8553 3.8553
3.8553 0.0000 3.8553
3.8553 3.8553 0.0000
Pr Er Tl
1 1 2
Cartesian
0.0000 0.0000 0.0000
3.8553 3.8553 3.8553
1.9276 1.9276 1.9276
5.7829 5.7829 5.7829
```

- DFT formation energy (eV/atom) = -0.35
- magnetization (μB/f.u.) = 0.0
- space group = Fm-3m, No. 225
- E above lowest polymorph (kJ/mol of formula units) = 6
- density of states at the Fermi level (states/eV per atom) = 0.75

---

No. 12
An optimized crystal structure of KSrAc2Se4, computed with PBE.

```
KSrAc2Se4
1.0
7.8108 0.0000 0.0000
0.0000 4.4971 0.0000
-2.5754 0.0000 7.4216
K Sr Ac Se
1 1 2 4
Cartesian
0.0000 0.0000 0.0000
3.9054 2.2485 0.0000
-1.2877 2.2485 3.7108
2.6177 0.0000 3.7108
0.0621 0.0000 5.5321
1.3565 2.2485 1.9564
3.8789 2.2485 5.4652
5.1733 0.0000 1.8894
```

- magnetization (μB/f.u.) = 0.0
- space group = P2/m, No. 10
- formation energy from raw total energies (kJ/mol of formula units) = -1434.3
- density of states at the Fermi level (states/eV per atom) = 0.39

---

No. 13
An optimized crystal structure of YReRh2, computed with PBE.

```
YReRh2
1.0
3.2781 0.0000 0.0000
0.0000 3.2781 0.0000
0.0000 0.0000 6.5651
Y Re Rh
1 1 2
Cartesian
0.0000 0.0000 0.0000
1.6390 1.6390 2.0952
0.0000 0.0000 3.2376
1.6390 1.6390 4.8267
```

- DFT formation energy (eV/atom) = 0.00
- magnetization (μB/f.u.) = 0.0
- space group = P4mm, No. 99
- E above lowest polymorph (kJ/mol of formula units) = 66
- density of states at the Fermi level (states/eV per atom) = 0.66

---

No. 14
An optimized crystal structure of SiMoHPd2, computed with PBE.

```
SiMoHPd2
1.0
4.9142 0.0000 0.0000
0.0000 4.9142 0.0000
0.0000 0.0000 3.2847
Si Mo H Pd
1 1 1 2
Cartesian
0.0000 0.0000 0.0000
2.4571 2.4571 1.6424
2.4571 2.4571 0.0000
0.0000 2.4571 1.6424
2.4571 0.0000 1.6424
```

- E_tot (eV/f.u.) = -25.866
- magnetization (μB/f.u.) = 0.0
- space group = P4/mmm, No. 123
- density of states at the Fermi level (states/eV per atom) = 0.95

---

No. 15
An optimized crystal structure of NbTeHPd, computed with PBE.

```
NbTeHPd
1.0
2.9822 -1.7357 0.0000
2.9822 1.7357 0.0000
-2.9365 0.0000 6.2438
Nb Te H Pd
1 1 1 1
Cartesian
0.0000 0.0000 0.0000
1.0561 0.0000 4.2736
1.9954 0.0000 0.4028
3.9308 0.0000 1.9393
```

- magnetization (μB/f.u.) = 0.0
- space group = Cm, No. 8
- E above lowest polymorph (kJ/mol of formula units) = 7
- density of states at the Fermi level (states/eV per atom) = 0.06

---

No. 16
An optimized crystal structure of Y2ZrIr, computed with PBE.

```
Y2ZrIr
1.0
-4.2090 4.2090 2.9461
4.2090 -4.2090 2.9461
4.2090 4.2090 -2.9461
Y Zr Ir
4 2 2
Cartesian
6.3136 1.5476 -0.7365
1.5476 2.1045 0.7365
-2.1045 2.6614 2.2096
2.6614 2.1045 3.6827
4.2090 0.0000 1.4731
0.0000 0.0000 2.9461
0.0000 0.0000 0.0000
0.0000 4.2090 1.4731
```

- DFT formation energy (eV/atom) = -0.04
- magnetization (μB/f.u.) = 0.5
- space group = I-42d, No. 122
- E above lowest polymorph (kJ/mol of formula units) = 152
- density of states at the Fermi level (states/eV per atom) = 1.44

---

No. 17
An optimized crystal structure of TaAl2Rh, computed with PBE.

```
TaAl2Rh
1.0
-1.9441 1.9441 4.1011
1.9441 -1.9441 4.1011
1.9441 1.9441 -4.1011
Ta Al Rh
1 2 1
Cartesian
0.0000 0.0000 0.0000
1.9441 0.0000 2.0505
0.0000 0.0000 4.1011
0.0000 1.9441 2.0505
```

- DFT formation energy (eV/atom) = -0.43
- magnetization (μB/f.u.) = 0.0
- space group = I-4m2, No. 119
- density of states at the Fermi level (states/eV per atom) = 0.56

---

No. 18
An optimized crystal structure of Ag3BiOs, computed with PBE.

```
Ag3BiOs
1.0
5.0383 0.0000 0.0000
0.0000 5.0383 0.0000
0.0000 0.0000 5.0383
Ag Bi Os
3 1 1
Cartesian
0.0000 0.0000 2.5192
0.0000 2.5192 0.0000
2.5192 0.0000 0.0000
2.5192 2.5192 2.5192
0.0000 0.0000 0.0000
```

- DFT formation energy (eV/atom) = 1.34
- magnetization (μB/f.u.) = 0.0
- space group = Pm-3m, No. 221
- E above lowest polymorph (kJ/mol of formula units) = 0
- density of states at the Fermi level (states/eV per atom) = 0.76

---

No. 19
An optimized crystal structure of RbHfPS2, computed with PBE.

```
RbHfPS2
1.0
5.0497 0.0000 0.0000
0.0000 5.0497 0.0000
0.0000 0.0000 5.1031
Rb Hf P S
1 1 1 2
Cartesian
0.0000 0.0000 0.0000
2.5248 2.5248 2.5515
2.5248 2.5248 0.0000
0.0000 2.5248 2.5515
2.5248 0.0000 2.5515
```

- magnetization (μB/f.u.) = 0.7
- space group = P4/mmm, No. 123
- formation energy from raw total energies (kJ/mol of formula units) = -384.1
- E above lowest polymorph (kJ/mol of formula units) = 0
- density of states at the Fermi level (states/eV per atom) = 0.75

---

No. 20
An optimized crystal structure of Ta4CrW, computed with PBE.

```
Ta4CrW
1.0
0.0000 3.7899 3.7899
3.7899 0.0000 3.7899
3.7899 3.7899 0.0000
Ta Cr W
4 1 1
Cartesian
0.9468 0.9468 0.9468
2.8431 2.8431 0.9468
2.8431 0.9468 2.8431
0.9468 2.8431 2.8431
3.7899 3.7899 3.7899
5.6848 5.6848 5.6848
```

- DFT formation energy (eV/atom) = 0.55
- magnetization (μB/f.u.) = 1.1
- space group = F-43m, No. 216
- E above lowest polymorph (kJ/mol of formula units) = 335
- density of states at the Fermi level (states/eV per atom) = 0.92

---

No. 21
An optimized crystal structure of ZrBeW2, computed with PBE.

```
ZrBeW2
1.0
-1.6686 2.1649 4.5070
1.6686 -2.1649 4.5070
1.6686 2.1649 -4.5070
Zr Be W
1 1 2
Cartesian
0.0000 0.0000 0.0000
0.0000 0.0000 4.5070
1.6686 0.0000 2.3143
0.0000 2.1649 2.1927
```

- DFT formation energy (eV/atom) = 0.28
- magnetization (μB/f.u.) = 0.0
- space group = Immm, No. 71
- density of states at the Fermi level (states/eV per atom) = 0.80

---

No. 22
An optimized crystal structure of Nd4Sb3H, computed with PBE.

```
Nd4Sb3H
1.0
12.5186 0.0000 0.0000
0.0000 6.3231 0.0000
0.0000 0.0000 6.3160
Nd Sb H
8 6 2
Cartesian
0.0000 1.1450 0.0000
0.0000 4.7510 3.5440
3.0708 1.5447 3.1665
3.1885 4.7784 0.0085
6.2593 1.5721 0.3860
6.2593 5.1781 3.1580
9.3301 4.7784 0.0085
9.4478 1.5447 3.1665
0.0000 1.5879 3.1627
3.1215 1.6174 0.0158
3.1378 4.7058 3.1738
6.2593 4.7352 0.0047
9.3808 4.7058 3.1738
9.3971 1.6174 0.0158
0.0000 5.1908 5.8357
6.2593 1.1323 2.6777
```

- E_tot (eV/f.u.) = -41.722
- magnetization (μB/f.u.) = 0.0
- space group = Pmn2_1, No. 31
- density of states at the Fermi level (states/eV per atom) = 0.65

---

No. 23
An optimized crystal structure of Os2C, computed with PBE.

```
Os2C
1.0
-1.3864 2.2720 3.2335
1.3864 -2.2720 3.2335
1.3864 2.2720 -3.2335
Os C
2 1
Cartesian
0.0000 0.0000 1.3671
0.0000 0.0000 5.0999
0.0000 0.0000 3.2335
```

- DFT formation energy (eV/atom) = 1.35
- magnetization (μB/f.u.) = 0.0
- space group = Immm, No. 71
- E above lowest polymorph (kJ/mol of formula units) = 244
- density of states at the Fermi level (states/eV per atom) = 0.77